[1]
CaMg4Cu2: relaxed, PBE.

Summary:
For the formation energy, the calculation gives -5 kJ per mole of atoms. Its space group is R-3m. Its magnetic moment is 0.0 Bohr magnetons per cell. The value obtained for the total energy is -16.955 eV per cell.

```
CaMg4Cu2
1.0
8.3107 0.0478 0.0293
6.9683 4.5290 0.0293
6.9683 2.0874 4.0194
Ca Cu Mg
1 2 4
Cartesian
0.0000 0.0000 0.0000
16.6454 4.9862 3.0511
5.6020 1.6781 1.0268
19.1738 5.7435 3.5146
3.0736 0.9207 0.5634
12.9557 3.8809 2.3748
9.2917 2.7834 1.7032
```

[2]
Pr12Ir3N5: relaxed, PBE.

Summary:
Its space group is Ia-3d. Its magnetic moment is 0.0 Bohr magnetons per cell. The value obtained for the total energy is -562.691 eV per cell.

```
Pr12Ir3N5
1.0
-5.3306 -1.2881 12.6050
-2.1451 -11.5812 -7.0876
13.5099 2.3510 0.9566
Ir N Pr
12 20 48
Cartesian
-3.1136 -5.0152 6.9154
-4.5843 -9.5191 5.8332
4.8359 -7.6996 0.0090
3.4654 -0.8881 2.6240
-1.5549 -1.9870 10.3825
0.0378 -7.1336 0.5362
5.9964 -3.3848 5.9377
7.5892 -8.5313 -3.9086
2.5688 -9.6303 3.8499
1.1983 -2.8188 6.4649
10.6186 -0.9992 0.6407
9.1478 -5.5032 -0.4415
1.9067 -3.9162 -0.8431
-1.0725 -5.7906 -3.5438
0.0000 0.0000 0.0000
-0.8465 -3.0845 3.0745
4.0897 0.5314 6.7808
-3.7378 -6.4347 2.7587
2.7911 -7.9653 -3.3814
7.5551 -0.3567 9.4048
-0.2724 -7.3227 5.3827
7.8653 -0.1675 4.5583
-1.8311 -10.3509 1.9156
3.0171 -5.2592 3.2370
-2.6653 -0.6441 6.3025
6.7550 1.1755 0.4783
6.3066 -3.1956 1.0912
-1.5209 -10.1617 -2.9309
5.6824 -4.6151 -3.0655
3.2432 -2.5531 9.8553
6.8807 -7.4339 3.3994
4.1275 -6.6021 7.3170
-3.6766 -2.2440 8.0774
2.6470 -5.5471 0.6849
-2.0431 -4.9613 9.8705
-1.6191 -2.7863 5.2783
4.5574 -7.3373 3.0319
-4.0263 -7.7166 8.2386
2.1875 -8.6273 -1.2042
-0.8382 -10.4223 -5.1688
3.9379 -10.4483 1.2416
-2.5811 -7.2734 4.9246
-0.1185 -5.6219 7.0032
-5.9609 -11.4798 3.9338
4.9455 -7.1018 -2.9872
-1.7291 -4.9809 1.9942
2.7270 -9.7036 -4.9678
5.5693 -0.5295 4.9320
1.9435 -1.7192 0.0021
-2.7097 -8.2728 1.2431
-2.3627 -10.9488 4.1297
-0.2509 -4.7254 -1.3250
6.6061 -9.9065 -1.3613
1.0904 -6.9780 3.4942
0.5196 -9.4175 6.1087
7.4317 -2.5704 8.6131
4.9438 -3.5403 2.9797
5.5146 -1.1008 0.3652
-1.3975 -7.9480 -2.1392
8.3969 0.4304 2.3442
-0.5718 -0.6119 7.8352
6.2852 -5.7929 7.7989
8.7440 -2.2455 5.2308
0.4650 -9.9889 1.5419
4.0908 -8.7991 6.4718
3.3072 -0.8147 11.4417
1.0887 -3.4166 9.4611
11.9952 0.9614 2.5401
7.7633 -5.5374 4.4797
2.0964 -0.0700 5.2323
8.6154 -3.2449 1.5493
6.1527 -4.8964 -0.5293
6.8724 -0.0961 11.6427
3.8468 -1.8911 7.6781
7.6533 -7.7320 1.1956
10.0605 -2.8018 -1.7647
1.4769 -3.1811 3.4420
8.0774 -5.5571 -3.3966
3.3873 -4.9713 5.7890
9.7109 -8.2744 -1.6035
```

[3]
FeSi: relaxed, PBE.

Summary:
Its space group is I4_1/amd. Its magnetic moment is 2.3 Bohr magnetons per cell. The value obtained for the total energy is -28.803 eV per cell.

```
FeSi
1.0
-1.7366 2.1632 -3.5810
-4.4910 0.5903 0.0375
3.3998 0.7269 2.9038
Fe Si
2 2
Cartesian
0.0000 0.0000 0.0000
-2.1025 1.3470 0.5848
-3.1138 1.3767 -1.7718
-0.7253 2.1334 -1.2245
```

[4]
CsKRb2S: relaxed, PBE.

Summary:
Its space group is P4/mmm. Its magnetic moment is 0.0 Bohr magnetons per cell. The value obtained for the total energy is -10.408 eV per cell.

```
CsKRb2S
1.0
6.7919 0.0000 0.0000
0.0000 6.7919 0.0000
0.0000 0.0000 6.4890
Cs K S Rb
1 1 1 2
Cartesian
3.3959 3.3959 3.2445
0.0000 0.0000 3.2445
0.0000 0.0000 0.0000
0.0000 3.3959 0.0000
3.3959 0.0000 0.0000
```

[5]
BeZn: relaxed, PBE.

Summary:
For the formation energy, the calculation gives 17 kJ per mole of atoms. Its space group is P4/nmm. Its magnetic moment is 0.0 Bohr magnetons per cell. The value obtained for the total energy is -9.312 eV per cell.

```
BeZn
1.0
-1.9765 1.6676 0.1971
-0.0059 -0.3113 2.5747
4.4623 5.2132 0.6404
Be Zn
2 2
Cartesian
-0.0836 0.8203 0.7521
2.5636 5.7492 2.6601
2.4521 3.7828 1.1160
0.0279 2.7867 2.2962
```

[6]
ZrSb3F: relaxed, PBE.

Summary:
Its space group is Pm-3m. Its magnetic moment is 0.0 Bohr magnetons per cell. The value obtained for the total energy is -24.039 eV per cell.

```
ZrSb3F
1.0
4.8656 0.0000 0.0000
0.0000 4.8656 0.0000
0.0000 0.0000 4.8656
Sb Zr F
3 1 1
Cartesian
0.0000 2.4328 0.0000
0.0000 0.0000 2.4328
2.4328 0.0000 0.0000
2.4328 2.4328 2.4328
0.0000 0.0000 0.0000
```

[7]
CaSmYTm: relaxed, PBE.

Summary:
For the formation energy, the calculation gives 14 kJ per mole of atoms. Its space group is F-43m. Its magnetic moment is 0.0 Bohr magnetons per cell. The value obtained for the total energy is -17.085 eV per cell.

```
CaSmYTm
1.0
5.7588 0.0000 0.0000
2.8794 4.9873 0.0000
2.8794 1.6624 4.7021
Y Ca Tm Sm
1 1 1 1
Cartesian
8.6382 4.9873 3.5265
0.0000 0.0000 0.0000
5.7588 3.3249 2.3510
2.8794 1.6624 1.1755
```

[8]
NaGdF2: relaxed, PBE.

Summary:
Its space group is R-3m. Its magnetic moment is 7.0 Bohr magnetons per cell. The value obtained for the total energy is -29.438 eV per cell.

```
NaGdF2
1.0
4.0349 0.0000 0.0000
2.0175 3.4943 0.0000
2.0175 1.1648 6.0925
Na Gd F
1 1 2
Cartesian
0.0000 0.0000 0.0000
4.0349 2.3296 3.0463
2.0175 1.1648 3.6342
6.0524 3.4943 2.4584
```